# Ni4HN, relaxed, DFT PBE-GGA
# Total moment in μB per cell: 0.00
# Crystal system: monoclinic
# Calculated total energy in eV per atom: -5.786
data_Ni4HN
_cell_length_a 4.2414
_cell_length_b 5.3562
_cell_length_c 5.3103
_cell_angle_alpha 119.34
_cell_angle_beta 90.00
_cell_angle_gamma 90.00
_space_group_name_H-M_alt 'P 1'
_space_group_IT_number 1
loop_
_space_group_symop_operation_xyz
'x,y,z'
loop_
_atom_site_label
_atom_site_type_symbol
_atom_site_fract_x
_atom_site_fract_y
_atom_site_fract_z
_atom_site_occupancy
Ni1 Ni 0.2514 0.8350 0.1710 1
Ni2 Ni 0.2486 0.3350 0.1710 1
Ni3 Ni 0.7354 0.6708 0.3387 1
Ni4 Ni 0.2354 0.8292 0.6613 1
Ni5 Ni 0.7646 0.1708 0.3387 1
Ni6 Ni 0.2646 0.3292 0.6613 1
Ni7 Ni 0.7514 0.6650 0.8290 1
Ni8 Ni 0.7486 0.1650 0.8290 1
H1 H 0.0000 0.5000 0.5000 1
H2 H 0.5000 0.0000 0.5000 1
N1 N 0.5000 0.5000 0.0000 1
N2 N 0.0000 0.0000 0.0000 1

=====

# Ni6H3N, relaxed, DFT PBE-GGA
# Total moment in μB per cell: 0.00
# Crystal system: monoclinic
# Calculated total energy in eV per atom: -5.271
data_Ni6H3N
_cell_length_a 4.5360
_cell_length_b 5.0368
_cell_length_c 7.0102
_cell_angle_alpha 90.00
_cell_angle_beta 89.20
_cell_angle_gamma 90.00
_space_group_name_H-M_alt 'P 1'
_space_group_IT_number 1
loop_
_space_group_symop_operation_xyz
'x,y,z'
loop_
_atom_site_label
_atom_site_type_symbol
_atom_site_fract_x
_atom_site_fract_y
_atom_site_fract_z
_atom_site_occupancy
Ni1 Ni 0.6659 0.1887 0.9292 1
Ni2 Ni 0.6714 0.1786 0.5699 1
Ni3 Ni 0.6631 0.4633 0.2522 1
Ni4 Ni 0.3369 0.5367 0.7478 1
Ni5 Ni 0.3286 0.8214 0.4301 1
Ni6 Ni 0.3341 0.8113 0.0708 1
Ni7 Ni 0.1659 0.3113 0.4292 1
Ni8 Ni 0.1714 0.3214 0.0699 1
Ni9 Ni 0.1631 0.0367 0.7522 1
Ni10 Ni 0.8369 0.9633 0.2478 1
Ni11 Ni 0.8286 0.6786 0.9301 1
Ni12 Ni 0.8341 0.6887 0.5708 1
H1 H 0.5299 0.9964 0.7487 1
H2 H 0.5000 0.5000 0.0000 1
H3 H 0.4701 0.0036 0.2513 1
H4 H 0.0299 0.5036 0.2487 1
H5 H 0.0000 0.0000 0.5000 1
H6 H 0.9701 0.4964 0.7513 1
N1 N 0.5000 0.5000 0.5000 1
N2 N 0.0000 0.0000 0.0000 1

=====

# Ni4H2N, relaxed, DFT PBE-GGA
# Total moment in μB per cell: 0.26
# Crystal system: tetragonal
# Calculated total energy in eV per atom: -5.232
data_Ni4H2N
_cell_length_a 3.7376
_cell_length_b 3.7376
_cell_length_c 4.9253
_cell_angle_alpha 67.70
_cell_angle_beta 67.70
_cell_angle_gamma 90.00
_space_group_name_H-M_alt 'P 1'
_space_group_IT_number 1
loop_
_space_group_symop_operation_xyz
'x,y,z'
loop_
_atom_site_label
_atom_site_type_symbol
_atom_site_fract_x
_atom_site_fract_y
_atom_site_fract_z
_atom_site_occupancy
Ni1 Ni 0.2271 0.2271 0.5458 1
Ni2 Ni 0.7729 0.7729 0.4542 1
Ni3 Ni 0.0000 0.5000 0.0000 1
Ni4 Ni 0.5000 0.0000 0.0000 1
H1 H 0.4111 0.4111 0.1778 1
H2 H 0.5889 0.5889 0.8222 1
N1 N 0.0000 0.0000 0.0000 1